Record 1
A plane-wave DFT calculation with PBE was carried out for a geometry-optimized TlRe2Cl structure.

Cell lengths 2.8560, 2.8560, 8.5254 Å; angles 90.00, 90.00, 90.00 degrees
Space group P4/mmm (No. 123)
Unique sites:
Tl 0.0000 0.0000 0.0000 [1 per cell]
Re 0.5000 0.5000 0.2635 [2 per cell]
Cl 0.0000 0.0000 0.5000 [1 per cell]

## Properties
Formation energy without anion corrections   1.59 eV/atom
ΔE to the lowest computed polymorph   1370 meV/atom

***

Record 2
A plane-wave DFT calculation with PBE was carried out for a geometry-optimized AlAgSn structure.

Cell lengths 3.1905, 5.7720, 6.8894 Å; angles 90.00, 103.29, 90.00 degrees
Space group P2_1/m (No. 11)
Unique sites:
Al 0.0000 0.0000 0.0000 [2 per cell]
Ag 0.3740 0.2500 0.7469 [2 per cell]
Sn 0.3187 0.7500 0.6393 [2 per cell]

## Properties
DFT formation energy   0.04 eV per atom

***

Record 3
A plane-wave DFT calculation with PBE was carried out for a geometry-optimized LiTi3Tc structure.

Cell lengths 4.2795, 4.2795, 4.2795 Å; angles 90.00, 90.00, 90.00 degrees
Space group Pm-3m (No. 221)
Unique sites:
Li 0.0000 0.0000 0.0000 [1 per cell]
Ti 0.0000 0.0000 0.5000 [3 per cell]
Tc 0.5000 0.5000 0.5000 [1 per cell]

## Properties
DFT formation energy   0.94 eV per atom
ΔE to the lowest computed polymorph   416 meV/atom

***

Record 4
A plane-wave DFT calculation with PBE was carried out for a geometry-optimized AgPd2WSe structure.

Cell lengths 4.8118, 4.8118, 5.1421 Å; angles 90.00, 90.00, 90.00 degrees
Space group P4/mmm (No. 123)
Unique sites:
Ag 0.0000 0.0000 0.0000 [1 per cell]
Pd 0.0000 0.5000 0.5000 [2 per cell]
W 0.0000 0.0000 0.5000 [1 per cell]
Se 0.5000 0.5000 0.0000 [1 per cell]

## Properties
Formation energy without anion corrections   1.40 eV/atom

***

Record 5
A plane-wave DFT calculation with PBE was carried out for a geometry-optimized BaHfMg14 structure.

Cell lengths 10.5960, 6.4825, 11.5333 Å; angles 90.00, 90.00, 90.00 degrees
Space group Amm2 (No. 38)
Unique sites:
Ba 0.0000 0.0000 0.0000 [2 per cell]
Hf 0.0000 0.0000 0.4607 [2 per cell]
Mg 0.0000 0.2369 0.7368 [4 per cell]
Mg 0.2395 0.0000 0.6317 [4 per cell]
Mg 0.2568 0.2456 0.3889 [8 per cell]
Mg 0.2701 0.0000 0.1521 [4 per cell]
Mg 0.5000 0.0000 0.4737 [2 per cell]
Mg 0.5000 0.0000 0.9769 [2 per cell]
Mg 0.5000 0.2415 0.7258 [4 per cell]

## Properties
DFT formation energy   0.12 eV per atom
ΔE to the lowest computed polymorph   16 meV/atom

***

Record 6
A plane-wave DFT calculation with PBE was carried out for a geometry-optimized SiB2F structure.

Cell lengths 5.3490, 5.3490, 5.3490 Å; angles 90.00, 90.00, 90.00 degrees
Space group Fm-3m (No. 225)
Unique sites:
Si 0.0000 0.0000 0.0000 [4 per cell]
B 0.2500 0.2500 0.2500 [8 per cell]
F 0.0000 0.0000 0.5000 [4 per cell]

## Properties
Formation energy without anion corrections   0.98 eV/atom
ΔE to the lowest computed polymorph   468 meV/atom

***

Record 7
A plane-wave DFT calculation with PBE was carried out for a geometry-optimized HgPt2W structure.

Cell lengths 4.1136, 4.1136, 7.9050 Å; angles 90.00, 90.00, 90.00 degrees
Space group I-4m2 (No. 119)
Unique sites:
Hg 0.0000 0.0000 0.0000 [2 per cell]
Pt 0.0000 0.0000 0.5000 [2 per cell]
Pt 0.0000 0.5000 0.7500 [2 per cell]
W 0.0000 0.5000 0.2500 [2 per cell]

## Properties
DFT formation energy   0.27 eV per atom

***

Record 8
A plane-wave DFT calculation with PBE was carried out for a geometry-optimized HOsPtW2 structure.

Cell lengths 3.9911, 3.9911, 3.9826 Å; angles 90.00, 90.00, 90.00 degrees
Space group P4/mmm (No. 123)
Unique sites:
H 0.0000 0.0000 0.0000 [1 per cell]
Os 0.0000 0.0000 0.5000 [1 per cell]
Pt 0.5000 0.5000 0.5000 [1 per cell]
W 0.0000 0.5000 0.0000 [2 per cell]

## Properties
DFT total energy   -9.292 eV per atom

***

Record 9
A plane-wave DFT calculation with PBE was carried out for a geometry-optimized ZrScPa2 structure.

Cell lengths 3.0991, 3.0991, 10.1208 Å; angles 90.00, 90.00, 90.00 degrees
Space group P4/mmm (No. 123)
Unique sites:
Zr 0.0000 0.0000 0.0000 [1 per cell]
Sc 0.0000 0.0000 0.5000 [1 per cell]
Pa 0.5000 0.5000 0.2479 [2 per cell]

## Properties
DFT formation energy   0.14 eV per atom
ΔE to the lowest computed polymorph   61 meV/atom

***

Record 10
A plane-wave DFT calculation with PBE was carried out for a geometry-optimized LuCdIrPt structure.

Cell lengths 6.6402, 6.6402, 6.6402 Å; angles 90.00, 90.00, 90.00 degrees
Space group F-43m (No. 216)
Unique sites:
Lu 0.0000 0.0000 0.0000 [4 per cell]
Cd 0.0000 0.0000 0.5000 [4 per cell]
Ir 0.2500 0.2500 0.7500 [4 per cell]
Pt 0.2500 0.2500 0.2500 [4 per cell]

## Properties
DFT formation energy   -0.62 eV per atom

***

Record 11
A plane-wave DFT calculation with PBE was carried out for a geometry-optimized HPd8Se2 structure.

Cell lengths 6.5706, 6.5706, 4.9238 Å; angles 90.00, 90.00, 120.00 degrees
Space group P-3m1 (No. 164)
Unique sites:
H 0.0000 0.0000 0.0000 [1 per cell]
Pd 0.1385 0.2770 0.2551 [6 per cell]
Pd 0.3333 0.6667 0.6005 [2 per cell]
Se 0.3333 0.6667 0.0854 [2 per cell]

## Properties
ΔE to the lowest computed polymorph   99 meV/atom

***

Record 12
A plane-wave DFT calculation with PBE was carried out for a geometry-optimized Ce3Cd4Hg4 structure.

Cell lengths 9.9964, 4.9908, 11.4115 Å; angles 90.00, 90.00, 90.00 degrees
Space group Amm2 (No. 38)
Unique sites:
Ce 0.0000 0.0000 0.0000 [2 per cell]
Ce 0.2838 0.0000 0.1861 [4 per cell]
Cd 0.0000 0.0000 0.3161 [2 per cell]
Cd 0.3053 0.0000 0.8822 [4 per cell]
Cd 0.5000 0.0000 0.4198 [2 per cell]
Hg 0.0000 0.0000 0.6941 [2 per cell]
Hg 0.2155 0.0000 0.4995 [4 per cell]
Hg 0.5000 0.0000 0.6854 [2 per cell]

## Properties
DFT formation energy   -0.19 eV per atom
ΔE to the lowest computed polymorph   68 meV/atom

***

Record 13
A plane-wave DFT calculation with PBE was carried out for a geometry-optimized Zr2InBi structure.

Cell lengths 3.8169, 3.8169, 6.4957 Å; angles 90.00, 90.00, 90.00 degrees
Space group P4/mmm (No. 123)
Unique sites:
Zr 0.0000 0.0000 0.2442 [2 per cell]
In 0.5000 0.5000 0.0000 [1 per cell]
Bi 0.5000 0.5000 0.5000 [1 per cell]

## Properties
DFT formation energy   -0.19 eV per atom
ΔE to the lowest computed polymorph   0 meV/atom

***

Record 14
A plane-wave DFT calculation with PBE was carried out for a geometry-optimized TaHg3Pb structure.

Cell lengths 5.3775, 5.3775, 5.3775 Å; angles 90.00, 90.00, 90.00 degrees
Space group Pm-3m (No. 221)
Unique sites:
Ta 0.0000 0.0000 0.0000 [1 per cell]
Hg 0.0000 0.0000 0.5000 [3 per cell]
Pb 0.5000 0.5000 0.5000 [1 per cell]

## Properties
DFT formation energy   0.75 eV per atom
ΔE to the lowest computed polymorph   0 meV/atom

***

Record 15
A plane-wave DFT calculation with PBE was carried out for a geometry-optimized Pr5Sn2N2 structure.

Cell lengths 4.9749, 4.9749, 9.9445 Å; angles 90.00, 90.00, 90.00 degrees
Space group P4/mmm (No. 123)
Unique sites:
Pr 0.0000 0.0000 0.0000 [1 per cell]
Pr 0.0000 0.5000 0.2848 [4 per cell]
Sn 0.5000 0.5000 0.0000 [1 per cell]
Sn 0.5000 0.5000 0.5000 [1 per cell]
N 0.0000 0.0000 0.2428 [2 per cell]

## Properties
Formation energy without anion corrections   -0.91 eV/atom

***

Record 16
A plane-wave DFT calculation with PBE was carried out for a geometry-optimized Rb6AuBr2O structure.

Cell lengths 8.3993, 8.3993, 22.2329 Å; angles 90.00, 90.00, 120.00 degrees
Space group R3 (No. 146, hexagonal axes)
Unique sites:
Rb 0.0328 0.4089 0.0000 [9 per cell]
Rb 0.0776 0.6854 0.8496 [9 per cell]
Au 0.0000 0.0000 0.7720 [3 per cell]
Br 0.0000 0.0000 0.0571 [3 per cell]
Br 0.0000 0.0000 0.5700 [3 per cell]
O 0.0000 0.0000 0.2621 [3 per cell]

## Properties
Formation energy without anion corrections   -0.99 eV/atom

***

Record 17
A plane-wave DFT calculation with PBE was carried out for a geometry-optimized Y2CuRh structure.

Cell lengths 3.9460, 3.9846, 5.8057 Å; angles 90.00, 90.00, 90.00 degrees
Space group Pmm2 (No. 25)
Unique sites:
Y 0.0000 0.0000 0.0000 [1 per cell]
Y 0.5000 0.5000 0.4133 [1 per cell]
Cu 0.5000 0.5000 0.8970 [1 per cell]
Rh 0.0000 0.0000 0.4937 [1 per cell]

## Properties
DFT formation energy   -0.32 eV per atom

***

Record 18
A plane-wave DFT calculation with PBE was carried out for a geometry-optimized HoEr2Zn5 structure.

Cell lengths 4.7891, 4.7891, 13.9767 Å; angles 90.00, 90.00, 90.00 degrees
Space group I4/mmm (No. 139)
Unique sites:
Ho 0.0000 0.0000 0.0000 [2 per cell]
Er 0.0000 0.0000 0.2656 [4 per cell]
Zn 0.0000 0.0000 0.5000 [2 per cell]
Zn 0.0000 0.5000 0.1158 [8 per cell]

## Properties
DFT formation energy   -0.31 eV per atom

***

Record 19
A plane-wave DFT calculation with PBE was carried out for a geometry-optimized Zr2MnAl2 structure.

Cell lengths 6.7765, 6.7765, 3.9160 Å; angles 90.00, 90.00, 90.00 degrees
Space group P4/mbm (No. 127)
Unique sites:
Zr 0.1726 0.3274 0.0000 [4 per cell]
Mn 0.0000 0.0000 0.5000 [2 per cell]
Al 0.1338 0.6338 0.5000 [4 per cell]

## Properties
DFT formation energy   -0.18 eV per atom

***

Record 20
A plane-wave DFT calculation with PBE was carried out for a geometry-optimized Y2HoEr2 structure.

Cell lengths 9.2647, 9.2647, 3.7042 Å; angles 90.00, 90.00, 90.00 degrees
Space group P4/mbm (No. 127)
Unique sites:
Y 0.1722 0.3278 0.0000 [4 per cell]
Ho 0.0000 0.0000 0.5000 [2 per cell]
Er 0.1262 0.6262 0.5000 [4 per cell]

## Properties
DFT formation energy   0.09 eV per atom

***

Record 21
A plane-wave DFT calculation with PBE was carried out for a geometry-optimized Sr2NbCdPt structure.

Cell lengths 5.7546, 5.7546, 5.2451 Å; angles 90.00, 90.00, 90.00 degrees
Space group P4/mmm (No. 123)
Unique sites:
Sr 0.0000 0.5000 0.0000 [2 per cell]
Nb 0.0000 0.0000 0.5000 [1 per cell]
Cd 0.5000 0.5000 0.5000 [1 per cell]
Pt 0.5000 0.5000 0.0000 [1 per cell]

## Properties
DFT formation energy   0.42 eV per atom

***

Record 22
A plane-wave DFT calculation with PBE was carried out for a geometry-optimized Mg2GeSb structure.

Cell lengths 3.2400, 3.2400, 8.3750 Å; angles 90.00, 90.00, 90.00 degrees
Space group P4/mmm (No. 123)
Unique sites:
Mg 0.0000 0.0000 0.2200 [2 per cell]
Ge 0.5000 0.5000 0.0000 [1 per cell]
Sb 0.5000 0.5000 0.5000 [1 per cell]

## Properties
Formation energy without anion corrections   -0.11 eV/atom
ΔE to the lowest computed polymorph   0 meV/atom

***

Record 23
A plane-wave DFT calculation with PBE was carried out for a geometry-optimized SrCaFe2 structure.

Cell lengths 3.8897, 4.5767, 11.5579 Å; angles 90.00, 90.00, 90.00 degrees
Space group Amm2 (No. 38)
Unique sites:
Sr 0.0000 0.0000 0.0000 [2 per cell]
Ca 0.5000 0.0000 0.2768 [2 per cell]
Fe 0.0000 0.0000 0.7033 [2 per cell]
Fe 0.5000 0.0000 0.5967 [2 per cell]

## Properties
DFT formation energy   0.41 eV per atom

***

Record 24
A plane-wave DFT calculation with PBE was carried out for a geometry-optimized Pm2Pr3Y6Tm structure.

Cell lengths 6.2680, 10.8531, 11.9094 Å; angles 90.00, 100.07, 90.00 degrees
Space group C2/m (No. 12)
Unique sites:
Pm 0.0000 0.1663 0.0000 [4 per cell]
Pr 0.0000 0.0000 0.5000 [2 per cell]
Pr 0.0000 0.3331 0.5000 [4 per cell]
Y 0.2485 0.3336 0.2473 [8 per cell]
Y 0.2497 0.0000 0.2477 [4 per cell]
Tm 0.0000 0.5000 0.0000 [2 per cell]

## Properties
DFT formation energy   0.01 eV per atom

***

Record 25
A plane-wave DFT calculation with PBE was carried out for a geometry-optimized CuMoOs structure.

Cell lengths 2.7523, 3.8557, 8.0035 Å; angles 90.00, 90.00, 90.00 degrees
Space group Imm2 (No. 44)
Unique sites:
Cu 0.0000 0.0000 0.0000 [2 per cell]
Mo 0.0000 0.0000 0.6692 [2 per cell]
Os 0.0000 0.0000 0.3370 [2 per cell]

## Properties
DFT formation energy   0.14 eV per atom
ΔE to the lowest computed polymorph   0 meV/atom

***

Record 26
A plane-wave DFT calculation with PBE was carried out for a geometry-optimized CaHgRh structure.

Cell lengths 3.4378, 3.4378, 6.5934 Å; angles 90.00, 90.00, 120.00 degrees
Space group P3m1 (No. 156)
Unique sites:
Ca 0.0000 0.0000 0.0000 [1 per cell]
Hg 0.3333 0.6667 0.3896 [1 per cell]
Rh 0.6667 0.3333 0.6973 [1 per cell]

## Properties
DFT formation energy   -0.04 eV per atom